(1)
The following is a PBE calculation of U2Tc2P2C after structural relaxation, from Alexandria.

## Properties
- Space-group type: C2/m
- DFT formation energy: -0.566 eV per atom
- DOS(E_F): 1.640 states/eV/atom

a b c (Å): 3.970 5.838 5.937
angles (deg): 65.86 70.47 70.12
Last column: magnetic moment on the atom in μB.
Fractional positions:
U: 0.442 0.819 0.298  1.79
U: 0.558 0.181 0.702  1.79
Tc: 0.205 0.692 0.899  -0.07
Tc: 0.795 0.308 0.101  -0.07
P: 0.171 0.348 0.310  -0.02
P: 0.829 0.652 0.690  -0.02
C: 0.000 0.000 0.000  -0.02

---

(2)
The following is a PBE calculation of KMnSi2Te8 after structural relaxation, from Alexandria.

## Properties
- DFT total energy: -3.964 eV/atom
- Space-group type: R-3
- DOS(E_F): 0.660 states/eV/atom

a b c (Å): 6.821 6.821 9.880
angles (deg): 69.81 69.81 60.00
Last column: magnetic moment on the atom in μB.
Fractional positions:
K: 0.500 0.500 0.500  0.00
Te: 0.079 0.368 0.845  -0.07
Te: 0.708 0.079 0.845  -0.07
Te: 0.632 0.292 0.155  -0.07
Te: 0.157 0.157 0.530  -0.04
Te: 0.292 0.921 0.155  -0.07
Te: 0.921 0.632 0.155  -0.07
Te: 0.368 0.708 0.845  -0.07
Te: 0.843 0.843 0.470  -0.04
Mn: 0.000 0.000 0.000  2.67
Si: 0.250 0.250 0.251  0.00
Si: 0.750 0.750 0.749  0.00

---

(3)
The following is a PBE calculation of La12Si5Bi after structural relaxation, from Alexandria.

## Properties
- DFT total energy: -5.565 eV/atom
- Space-group type: Immm
- DOS(E_F): 1.098 states/eV/atom

a b c (Å): 8.933 8.933 8.933
angles (deg): 104.79 113.07 110.66
Fractional positions:
Si: 0.500 0.110 0.610
Si: 0.500 0.890 0.390
Si: 0.000 0.000 0.000
Si: 0.620 0.620 0.000
Si: 0.380 0.380 0.000
La: 0.201 0.429 0.227
La: 0.799 0.026 0.227
La: 0.201 0.974 0.773
La: 0.917 0.183 0.734
La: 0.293 0.683 0.976
La: 0.707 0.317 0.024
La: 0.083 0.817 0.266
La: 0.707 0.683 0.389
La: 0.449 0.183 0.266
La: 0.293 0.317 0.611
La: 0.799 0.571 0.773
La: 0.551 0.817 0.734
Bi: 0.000 0.500 0.500